Below is Pm3Sn2Au7 after structural relaxation, with properties calculated at the PBE level.

abc: 4.081 4.846 14.416
angles: 99.68 90.00 90.00
Atoms (fractional coordinates):
Pm 0.500 0.500 0.000
Pm 0.500 0.688 0.376
Pm 0.500 0.312 0.624
Sn 0.000 0.867 0.733
Sn 0.000 0.133 0.267
Au 0.000 0.415 0.830
Au 0.000 0.772 0.544
Au 0.000 0.000 0.000
Au 0.000 0.585 0.170
Au 0.500 0.069 0.138
Au 0.500 0.931 0.862
Au 0.000 0.228 0.456

Computed properties:
The calculation puts the mass density at 12.1 g/cm3. As for the formation energy: -545 meV per atom. As for the space-group type: Cmmm. The total DFT energy (no corrections) is -4.312 eV per atom. The value obtained for the density of states at the Fermi level is 0.50 states/eV per atom.



Below is PmSnAu4 after structural relaxation, with properties calculated at the PBE level.

abc: 6.587 6.735 6.587
angles: 77.70 74.74 77.70
Atoms (fractional coordinates):
Pm 0.156 0.247 0.156
Pm 0.844 0.753 0.844
Sn 0.397 0.810 0.397
Sn 0.603 0.190 0.603
Au 0.147 0.722 0.147
Au 0.803 0.567 0.439
Au 0.765 0.000 0.235
Au 0.561 0.433 0.197
Au 0.853 0.278 0.853
Au 0.197 0.433 0.561
Au 0.235 0.000 0.765
Au 0.439 0.567 0.803

Computed properties:
The calculation puts the mass density at 12.9 g/cm3. As for the formation energy: -404 meV per atom. The energy above the most stable polymorph in this dataset is 5 meV per atom. As for the space-group type: C2/m. The total DFT energy (no corrections) is -4.048 eV per atom. The value obtained for the density of states at the Fermi level is 0.54 states/eV per atom.



The highest formation energy belongs to which entry? PmSnAu4